Entry 1:
La3Sm8Ho2 | GGA-PBE | relaxed

* SG: P-1 (2)
* V: 34.69 A^3/atom
* DFT formation energy: 1.47 eV per formula unit
* energy above the lowest structure with this stoichiometry: 0 meV per atom

Unit cell a=12.6417 b=8.7433 c=18.6200 alpha=94.26 beta=91.95 gamma=153.21
With the nearest neighbours (Å) after each atom.
Sites, in units of the cell vectors:
La 0.6636 0.7999 0.2659  10 Sm 3.49-3.84, 1 Ho 3.60, 1 La 3.89
La 0.5000 0.0000 0.5000  6 Sm 3.34-3.65, 2 Ho 3.47
La 0.9583 0.3730 0.7754  8 Sm 3.40-3.69, 1 Ho 3.60
La 0.0417 0.6270 0.2246  8 Sm 3.40-3.69, 1 Ho 3.60
La 0.0000 0.0000 0.0000  4 Sm 3.35-3.64, 2 Ho 3.48
La 0.3364 0.2001 0.7341  10 Sm 3.49-3.84, 1 Ho 3.60, 1 La 3.89
Sm 0.7605 0.9761 0.0892  3 La 3.35-3.54, 1 Ho 3.37, 4 Sm 3.46-3.62
Sm 0.3302 0.3223 0.3989  3 Ho 3.42-3.52, 1 La 3.49, 4 Sm 3.49-3.75
Sm 0.9632 0.0000 0.8050  4 La 3.40-3.64, 5 Sm 3.45-3.80
Sm 0.5911 0.1928 0.8476  4 Sm 3.38-3.62, 2 Ho 3.54-3.61, 2 La 3.56-3.68
Sm 0.2917 0.6248 0.3208  4 La 3.34-3.63, 5 Sm 3.38-3.59, 1 Ho 3.61
Sm 0.6602 0.4224 0.3313  5 Sm 3.46-3.80, 1 Ho 3.54, 2 La 3.57-3.64
Sm 0.9668 0.4995 0.4003  4 La 3.42-3.69, 5 Sm 3.46-3.80, 2 Ho 3.50-3.52
Sm 0.5612 0.7687 0.8987  4 Sm 3.46-3.58, 3 Ho 3.51-3.80, 2 La 3.69-3.76
Sm 0.4388 0.2313 0.1013  4 Sm 3.46-3.58, 3 Ho 3.51-3.80, 2 La 3.69-3.76
Sm 0.0332 0.5005 0.5997  4 La 3.42-3.69, 5 Sm 3.46-3.80, 2 Ho 3.50-3.52
Sm 0.0368 0.0000 0.1950  4 La 3.40-3.64, 5 Sm 3.45-3.80
Sm 0.7083 0.3752 0.6792  4 La 3.34-3.63, 5 Sm 3.38-3.59, 1 Ho 3.61
Sm 0.4089 0.8072 0.1524  4 Sm 3.38-3.62, 2 Ho 3.54-3.61, 2 La 3.56-3.68
Sm 0.3398 0.5776 0.6687  5 Sm 3.46-3.80, 1 Ho 3.54, 2 La 3.57-3.64
Sm 0.6698 0.6777 0.6011  3 Ho 3.42-3.52, 1 La 3.49, 4 Sm 3.49-3.75
Sm 0.2395 0.0239 0.9108  3 La 3.35-3.54, 1 Ho 3.37, 4 Sm 3.46-3.62
Ho 0.8124 0.3969 0.0335  5 Sm 3.37-3.61, 2 La 3.48-3.60, 2 Ho 3.51-3.57
Ho 0.0566 0.9043 0.5458  7 Sm 3.42-3.61, 2 La 3.47-3.60, 1 Ho 3.51
Ho 0.9434 0.0957 0.4542  7 Sm 3.42-3.61, 2 La 3.47-3.60, 1 Ho 3.51
Ho 0.1876 0.6031 0.9665  5 Sm 3.37-3.61, 2 La 3.48-3.60, 2 Ho 3.51-3.57


Entry 2:
Ba3ErTc2O9 | GGA-PBE | relaxed

* SG: P-3m1 (164)
* energy: -7.46 eV per atom
* V: 14.25 A^3/atom

Unit cell a=5.8623 b=5.8623 c=7.1810 alpha=90.00 beta=90.00 gamma=120.00
With the nearest neighbours (Å) after each atom.
Sites, in units of the cell vectors:
Ba 0.3333 0.6667 0.6626  12 O 2.94-2.96
Ba 0.0000 0.0000 0.0000  12 O 2.90-2.93
Ba 0.6667 0.3333 0.3374  12 O 2.94-2.96
Er 0.0000 0.0000 0.5000  6 O 2.21
Tc 0.3333 0.6667 0.1520  6 O 1.99-2.01
Tc 0.6667 0.3333 0.8480  6 O 1.99-2.01
O 0.8241 0.1759 0.6818  1 Tc 1.99, 1 Er 2.21
O 0.8241 0.6482 0.6818  1 Tc 1.99, 1 Er 2.21
O 0.3518 0.1759 0.6818  1 Tc 1.99, 1 Er 2.21
O 0.6482 0.8241 0.3182  1 Tc 1.99, 1 Er 2.21
O 0.1759 0.3518 0.3182  1 Tc 1.99, 1 Er 2.21
O 0.1759 0.8241 0.3182  1 Tc 1.99, 1 Er 2.21
O 0.5000 0.0000 0.0000  2 Tc 2.01
O 0.0000 0.5000 0.0000  2 Tc 2.01
O 0.5000 0.5000 0.0000  2 Tc 2.01


Entry 3:
ZrScHgAu | GGA-PBE | relaxed

* SG: P4mm (99)
* V: 20.83 A^3/atom
* DFT formation energy: -1.82 eV per formula unit

Unit cell a=3.3646 b=3.3646 c=7.3605 alpha=90.00 beta=90.00 gamma=90.00
With the nearest neighbours (Å) after each atom.
Sites, in units of the cell vectors:
Zr 0.0000 0.0000 0.0814  4 Au 3.02, 4 Hg 3.10, 4 Zr 3.36
Sc 0.0000 0.0000 0.5560  4 Au 2.88, 4 Hg 3.04
Hg 0.5000 0.5000 0.8124  4 Sc 3.04, 4 Zr 3.10, 4 Hg 3.36
Au 0.5000 0.5000 0.3349  4 Sc 2.88, 4 Zr 3.02


Entry 4:
SrSc4 | GGA-PBE | relaxed

* SG: Pm-3m (221)
* V: 28.47 A^3/atom
* DFT formation energy: 5.86 eV per formula unit
* energy above the lowest structure with this stoichiometry: 0 meV per atom

Unit cell a=5.2211 b=5.2211 c=5.2211 alpha=90.00 beta=90.00 gamma=90.00
With the nearest neighbours (Å) after each atom.
Sites, in units of the cell vectors:
Sc 0.0000 0.0000 0.0000  12 Sc 3.69
Sc 0.5000 0.0000 0.5000  2 Sr 2.61
Sc 0.0000 0.5000 0.5000  2 Sr 2.61
Sc 0.5000 0.5000 0.0000  2 Sr 2.61
Sr 0.5000 0.5000 0.5000  6 Sc 2.61


Entry 5:
Rb2SnSO | GGA-PBE | relaxed

* SG: P2_1/m (11)
* V: 30.74 A^3/atom
* energy above the lowest structure with this stoichiometry: 0 meV per atom

Unit cell a=4.0477 b=7.0887 c=11.7856 alpha=114.61 beta=90.00 gamma=90.00
With the nearest neighbours (Å) after each atom.
Sites, in units of the cell vectors:
Rb 0.7500 0.8221 0.6442  2 O 3.07, 3 S 3.30-3.42
Rb 0.7500 0.8087 0.0171  3 O 2.76-2.96
Rb 0.2500 0.1779 0.3558  2 O 3.07, 3 S 3.30-3.42
Rb 0.2500 0.1913 0.9829  3 O 2.76-2.96
Sn 0.2500 0.4605 0.7682  1 O 2.03
Sn 0.7500 0.5395 0.2318  1 O 2.03
S 0.2500 0.6626 0.3874  2 Sn 2.62
S 0.7500 0.3374 0.6126  2 Sn 2.62
O 0.2500 0.7738 0.8266  1 Sn 2.03
O 0.7500 0.2262 0.1734  1 Sn 2.03


Entry 6:
Cd2AgTe2 | GGA-PBE | relaxed

* SG: I4/mmm (139)
* V: 29.32 A^3/atom
* energy above the lowest structure with this stoichiometry: 122 meV per atom

Unit cell a=4.4390 b=4.4390 c=8.0752 alpha=74.05 beta=74.05 gamma=90.00
With the nearest neighbours (Å) after each atom.
Sites, in units of the cell vectors:
Te 0.3828 0.3828 0.2344  4 Cd 2.97
Te 0.6172 0.6172 0.7656  4 Cd 2.97
Ag 0.0000 0.0000 0.0000  8 Te 3.59
Cd 0.7500 0.2500 0.5000  4 Te 2.97, 4 Cd 3.14
Cd 0.2500 0.7500 0.5000  4 Te 2.97, 4 Cd 3.14


Q: The lowest V belongs to which entry?
A: Ba3ErTc2O9


Q: Look up the V of the first one.
A: 34.69 A^3/atom


Please write out number 6 again, unchanged.
Cd2AgTe2 | GGA-PBE | relaxed

* SG: I4/mmm (139)
* V: 29.32 A^3/atom
* energy above the lowest structure with this stoichiometry: 122 meV per atom

Unit cell a=4.4390 b=4.4390 c=8.0752 alpha=74.05 beta=74.05 gamma=90.00
With the nearest neighbours (Å) after each atom.
Sites, in units of the cell vectors:
Te 0.3828 0.3828 0.2344  4 Cd 2.97
Te 0.6172 0.6172 0.7656  4 Cd 2.97
Ag 0.0000 0.0000 0.0000  8 Te 3.59
Cd 0.7500 0.2500 0.5000  4 Te 2.97, 4 Cd 3.14
Cd 0.2500 0.7500 0.5000  4 Te 2.97, 4 Cd 3.14